No. 1
VASP calculation (PBE-GGA) on an optimized crystal structure of AgP2Cl.

Lattice parameters (Å, degrees): 4.358 4.358 8.144 90.00 90.00 135.56
Fractional coordinates of all 4 atoms:
Ag1 0.000 0.000 0.000
P1 0.000 0.000 0.434
P2 0.500 0.500 0.264
Cl1 0.500 0.500 0.766

Results
- Density: 3.15 Mg/m³
- Spin magnetization: 0.00 μB per formula unit
- DFT total energy: -3.722 eV per atom
- SG: Cmm2, No. 35
- Relative energy among the computed polymorphs: 275 meV per atom
- Energy relative to the elements, uncorrected: 0.158 eV per atom

---

No. 2
VASP calculation (PBE-GGA) on an optimized crystal structure of SmLu2Ag.

Lattice parameters (Å, degrees): 3.524 3.524 8.785 90.00 90.00 90.00
Fractional coordinates of all 4 atoms:
Sm1 0.000 0.000 0.000
Lu1 0.500 0.500 0.291
Lu2 0.500 0.500 0.709
Ag1 0.000 0.000 0.500

Results
- Density: 9.25 Mg/m³
- Spin magnetization: 0.00 μB per formula unit
- DFT total energy: -4.292 eV per atom
- SG: P4/mmm, No. 123
- Relative energy among the computed polymorphs: 0 meV per atom
- Energy relative to the elements: -138 meV per atom

---

No. 3
VASP calculation (PBE-GGA) on an optimized crystal structure of Ac2PuO8.

Lattice parameters (Å, degrees): 6.610 6.610 4.987 108.08 108.08 71.19
Fractional coordinates of all 11 atoms:
Ac1 0.181 0.181 0.349
Ac2 0.819 0.819 0.651
Pu1 0.500 0.500 0.000
O1 0.069 0.069 0.721
O2 0.191 0.545 0.740
O3 0.394 0.394 0.221
O4 0.455 0.809 0.260
O5 0.545 0.191 0.740
O6 0.606 0.606 0.779
O7 0.809 0.455 0.260
O8 0.931 0.931 0.279

Results
- Density: 7.19 Mg/m³
- Spin magnetization: 1.99 μB per formula unit
- DFT total energy: -7.985 eV per atom
- SG: C2/m, No. 12
- Energy relative to the elements, uncorrected: -2.329 eV per atom

---

No. 4
VASP calculation (PBE-GGA) on an optimized crystal structure of TaMnAl2.

Lattice parameters (Å, degrees): 5.041 5.041 5.041 142.60 129.22 64.74
Fractional coordinates of all 4 atoms:
Ta1 0.000 0.000 0.000
Mn1 0.779 0.279 0.500
Al1 0.270 0.770 0.500
Al2 0.543 0.543 0.000

Results
- Density: 8.09 Mg/m³
- Spin magnetization: 0.01 μB per formula unit
- DFT total energy: -7.250 eV per atom
- SG: Imm2, No. 44
- Relative energy among the computed polymorphs: 93 meV per atom
- Energy relative to the elements: -123 meV per atom

---

No. 5
VASP calculation (PBE-GGA) on an optimized crystal structure of KTl2W.

Lattice parameters (Å, degrees): 5.448 5.448 5.448 60.00 60.00 60.00
Fractional coordinates of all 4 atoms:
K1 0.000 0.000 0.000
Tl1 0.500 0.500 0.500
Tl2 0.750 0.750 0.750
W1 0.250 0.250 0.250

Results
- Density: 9.18 Mg/m³
- Spin magnetization: 4.14 μB per formula unit
- DFT total energy: -3.398 eV per atom
- SG: F-43m, No. 216
- Relative energy among the computed polymorphs: 626 meV per atom
- Energy relative to the elements: 1298 meV per atom